# V6SeS3 | the Alexandria database | PBE | optimized geometry
data_V6SeS3
_chemical_formula_sum 'V24 Se4 S12'
_cell_length_a 8.8425
_cell_length_b 10.6302
_cell_length_c 5.9688
_cell_angle_alpha 90.00
_cell_angle_beta 90.00
_cell_angle_gamma 90.00
_space_group_name_H-M_alt 'C m c 21'
_space_group_IT_number 36
_space_group_name_Hall 'C 2c -2'
loop_
_atom_site_label
_atom_site_fract_x
_atom_site_fract_y
_atom_site_fract_z
_atom_site_occupancy
V1 0.0000 0.0269 0.0000 1
V2 0.0000 0.2341 0.3610 1
V3 0.1640 0.4541 0.4602 1
V4 0.1908 0.2673 0.0382 1
Se1 0.0000 0.2043 0.7497 1
S1 0.0000 0.4181 0.1514 1
S2 0.1864 0.0891 0.2776 1
# E_form (uncorrected) = -542 meV per atom